No. 1
Ba2SnIrO6 after structural relaxation. Source: the Alexandria database, functional PBE.

Energy relative to the elements, uncorrected, eV/atom: -1.760
Space group: P-1 (2)
Calculated volume, Å³/atom: 16.5

```
Ba2SnIrO6
1.0
5.373 0.000 0.000
-0.007 5.701 0.000
-2.235 -2.832 5.386
Ba Sn Ir O
2 1 1 6
Cartesian
0.131 0.010 2.557
3.000 2.859 2.829
-0.003 2.851 0.000
2.687 0.000 0.000
-0.800 -1.510 4.784
-0.782 1.527 4.777
0.504 2.853 1.931
2.627 0.016 3.455
3.913 1.342 0.609
3.932 4.379 0.602
```

=====

No. 2
BaSnIr2O8 after structural relaxation. Source: the Alexandria database, functional PBE.

Energy relative to the elements, uncorrected, eV/atom: -0.926
Space group: P-3 (147)
Calculated volume, Å³/atom: 17.0

```
BaSnIr2O8
1.0
5.501 0.000 0.000
-2.751 4.764 0.000
0.000 0.000 7.772
Ba Sn Ir O
1 1 2 8
Cartesian
0.000 0.000 0.000
0.000 0.000 3.886
0.000 3.176 5.605
2.751 1.588 2.168
-0.672 1.449 5.254
-1.160 4.622 5.254
0.919 1.307 2.519
0.000 3.176 7.451
2.751 1.588 0.322
1.832 3.457 5.254
3.910 0.142 2.519
3.423 3.315 2.519
```

=====

No. 3
BaSnIrO6 after structural relaxation. Source: the Alexandria database, functional PBE.

Energy relative to the elements, uncorrected, eV/atom: -1.400
Space group: Imma (74)
Calculated volume, Å³/atom: 15.2

```
BaSnIrO6
1.0
-3.635 3.645 5.160
3.635 -3.645 5.160
3.635 3.645 -5.160
Ba Sn Ir O
2 2 2 12
Cartesian
0.000 1.822 1.313
3.635 1.822 3.847
1.817 1.822 -2.580
1.817 -1.822 2.580
3.635 0.000 0.000
0.000 0.000 5.160
3.635 -1.822 3.562
2.235 -0.192 1.333
5.035 -0.192 1.333
3.635 1.822 0.521
2.235 3.452 -1.333
1.400 -0.192 3.828
2.235 3.837 1.333
1.400 0.192 6.493
0.000 1.822 4.640
-1.400 3.837 3.828
1.400 3.837 3.828
0.000 5.467 1.598
```

=====

No. 4
BaSrIrO6 after structural relaxation. Source: the Alexandria database, functional PBE.

Energy relative to the elements, uncorrected, eV/atom: -1.528
Space group: P312 (149)
Calculated volume, Å³/atom: 18.0

```
BaSrIrO6
1.0
5.895 0.000 0.000
-2.947 5.105 0.000
0.000 0.000 5.393
Ba Sr Ir O
1 1 1 6
Cartesian
0.000 0.000 0.000
0.000 3.403 2.697
2.947 1.702 2.697
2.171 0.355 3.787
1.393 1.703 1.606
3.723 0.355 1.606
2.169 3.047 3.787
4.502 1.703 3.787
3.725 3.047 1.606
```

=====

No. 5
BaSrIrO4 after structural relaxation. Source: the Alexandria database, functional PBE.

Energy relative to the elements, uncorrected, eV/atom: -1.882
Space group: I4mm (107)
Calculated volume, Å³/atom: 15.1

```
BaSrIrO4
1.0
-2.002 2.002 6.583
2.002 -2.002 6.583
2.002 2.002 -6.583
Ba Sr Ir O
1 1 1 4
Cartesian
0.000 0.000 0.000
0.000 0.000 9.328
0.000 0.000 4.641
0.000 0.000 2.565
2.002 0.000 4.492
0.000 0.000 6.754
0.000 2.002 4.492
```

=====

No. 6
Ba2SrIrO5 after structural relaxation. Source: the Alexandria database, functional PBE.

Energy relative to the elements, uncorrected, eV/atom: -1.975
Space group: Immm (71)
Calculated volume, Å³/atom: 16.7

```
Ba2SrIrO5
1.0
-1.929 3.089 6.315
1.929 -3.089 6.315
1.929 3.089 -6.315
Ba Sr Ir O
2 1 1 5
Cartesian
0.000 0.000 2.699
0.000 0.000 9.931
0.000 3.089 0.000
1.929 0.000 0.000
0.000 0.000 0.000
1.929 1.517 -1.464
1.929 1.517 1.464
0.000 1.572 4.851
0.000 1.572 7.779
```

=====

No. 7
BaSr2IrO5 after structural relaxation. Source: the Alexandria database, functional PBE.

Energy relative to the elements, uncorrected, eV/atom: -2.116
Space group: Immm (71)
Calculated volume, Å³/atom: 15.7

```
BaSr2IrO5
1.0
-1.944 3.031 5.989
1.944 -3.031 5.989
1.944 3.031 -5.989
Ba Sr Ir O
1 2 1 5
Cartesian
0.000 0.000 0.000
1.944 0.000 3.428
0.000 3.031 2.561
0.000 0.000 5.989
1.944 1.603 -1.535
1.944 1.603 1.535
0.000 3.031 0.000
0.000 1.428 4.453
0.000 1.428 7.524
```

=====

No. 8
Ba2TbIr3O12 after structural relaxation. Source: the Alexandria database, functional PBE.

Energy relative to the elements, uncorrected, eV/atom: -1.536
Space group: R-3m (166)
Calculated volume, Å³/atom: 14.4

```
Ba2TbIr3O12
1.0
3.657 2.111 5.590
-3.657 2.111 5.590
0.000 -4.222 5.590
Ba Tb Ir O
2 1 3 12
Cartesian
0.000 0.000 1.900
0.000 0.000 14.868
0.000 0.000 8.384
-1.828 -1.056 5.590
-1.828 1.056 11.179
0.000 2.111 5.590
-1.867 -1.078 7.499
0.000 -1.782 5.660
-1.543 0.891 5.660
-1.543 -0.891 11.109
0.000 -2.156 9.269
-1.867 1.078 9.269
1.867 -1.078 7.499
0.000 2.156 7.499
1.543 0.891 5.660
1.543 -0.891 11.109
0.000 1.782 11.109
1.867 1.078 9.269
```

=====

No. 9
Ba2TcIr3O12 after structural relaxation. Source: the Alexandria database, functional PBE.

Energy relative to the elements, uncorrected, eV/atom: -1.352
Space group: R-3m (166)
Calculated volume, Å³/atom: 14.5

```
Ba2TcIr3O12
1.0
3.543 2.046 5.983
-3.543 2.046 5.983
0.000 -4.091 5.983
Ba Tc Ir O
2 1 3 12
Cartesian
0.000 0.000 2.154
0.000 0.000 15.795
0.000 0.000 8.975
-1.772 -1.023 5.983
-1.772 1.023 11.966
0.000 2.046 5.983
0.000 -1.679 5.433
-1.454 0.839 5.433
-1.358 -0.784 7.894
-1.454 -0.839 12.516
0.000 -1.568 10.056
-1.358 0.784 10.056
1.358 -0.784 7.894
0.000 1.568 7.894
1.454 0.839 5.433
1.358 0.784 10.056
1.454 -0.839 12.516
0.000 1.679 12.516
```

=====

No. 10
Ba2TcIrO6 after structural relaxation. Source: the Alexandria database, functional PBE.

Energy relative to the elements, uncorrected, eV/atom: -1.762
Space group: Fm-3m (225)
Calculated volume, Å³/atom: 13.5

```
Ba2TcIrO6
1.0
0.000 4.073 4.073
4.073 0.000 4.073
4.073 4.073 0.000
Ba Tc Ir O
2 1 1 6
Cartesian
2.037 2.037 2.037
6.110 6.110 6.110
0.000 0.000 0.000
4.073 4.073 4.073
4.073 4.073 2.017
4.073 2.017 4.073
6.129 4.073 4.073
2.017 4.073 4.073
4.073 6.129 4.073
4.073 4.073 6.129
```

=====

No. 11
BaTe2IrO8 after structural relaxation. Source: the Alexandria database, functional PBE.

Energy relative to the elements, uncorrected, eV/atom: -1.173
Space group: P-1 (2)
Calculated volume, Å³/atom: 18.1

```
BaTe2IrO8
1.0
5.003 0.000 0.000
-0.351 6.014 0.000
-0.247 -1.604 7.225
Ba Te Ir O
1 2 1 8
Cartesian
0.000 0.000 0.000
2.119 3.301 1.866
2.286 1.110 5.358
-0.124 -0.802 3.612
0.825 0.349 2.554
0.738 3.661 3.147
1.105 -0.430 5.198
1.349 3.994 0.307
3.056 0.416 6.918
3.300 4.840 2.027
3.667 0.749 4.078
3.580 4.061 4.671
```

=====

No. 12
Ba2ThIr3O12 after structural relaxation. Source: the Alexandria database, functional PBE.

Energy relative to the elements, uncorrected, eV/atom: -1.661
Space group: R-3m (166)
Calculated volume, Å³/atom: 14.6

```
Ba2ThIr3O12
1.0
3.667 2.117 5.630
-3.667 2.117 5.630
0.000 -4.234 5.630
Ba Th Ir O
2 1 3 12
Cartesian
0.000 0.000 1.929
0.000 0.000 14.959
0.000 0.000 8.444
-1.833 -1.059 5.630
-1.833 1.059 11.259
0.000 2.117 5.630
-1.902 -1.098 7.571
0.000 -1.749 5.776
-1.515 0.874 5.776
0.000 -2.196 9.317
-1.902 1.098 9.317
-1.515 -0.874 11.112
1.515 0.874 5.776
1.902 -1.098 7.571
0.000 2.196 7.571
1.515 -0.874 11.112
0.000 1.749 11.112
1.902 1.098 9.317
```